Material: Nb2AlB2
Method: DFT, GGA-PBE
State: relaxed

The structure belongs to space group P4/mbm (No. 127); the cell edges are 5.9605, 5.9605 and 3.4073 Å and the angles 90.00°, 90.00° and 90.00°. The distinct sites, in fractional coordinates, are Nb at (0.1763, 0.3237, 0.0000), Al at (0.0000, 0.0000, 0.5000) and B at (0.1055, 0.6055, 0.5000).

The calculation puts the total magnetic moment at 0.00 μB per cell. The calculation puts the formation energy at -0.5173 eV per atom.

=====

Material: NbAlB
Method: DFT, GGA-PBE
State: relaxed

The structure belongs to space group I4/mmm (No. 139); the cell edges are 3.8089, 3.8089 and 11.1657 Å and the angles 90.00°, 90.00° and 90.00°. The distinct sites, in fractional coordinates, are Nb at (0.0000, 0.0000, 0.1332), Al at (0.0000, 0.0000, 0.3760) and B at (0.0000, 0.5000, 0.0000).

For the energy above the most stable polymorph in this dataset, the calculation gives 0.523 eV per atom. The calculation puts the total magnetic moment at 0.00 μB per cell. The calculation puts the formation energy at -0.0166 eV per atom.

=====

Material: Nb5AlB2
Method: DFT, GGA-PBE
State: relaxed

The structure belongs to space group I4/mcm (No. 140); the cell edges are 6.3195, 6.3195 and 11.8935 Å and the angles 90.00°, 90.00° and 90.00°. The distinct sites, in fractional coordinates, are Nb at (0.0000, 0.0000, 0.0000), Nb at (0.1703, 0.3297, 0.1337), Al at (0.0000, 0.0000, 0.2500) and B at (0.1131, 0.3869, 0.5000).

The calculation puts the total magnetic moment at 0.00 μB per cell. The calculation puts the formation energy at -0.4702 eV per atom.

=====

Material: NbAlB
Method: DFT, GGA-PBE
State: relaxed

The structure belongs to space group C2/m (No. 12); the cell edges are 8.9168, 3.3702 and 6.1690 Å and the angles 90.00°, 125.88° and 90.00°. The distinct sites, in fractional coordinates, are Nb at (0.0793, 0.0000, 0.3410), Al at (0.1821, 0.5000, 0.0904) and B at (0.1177, 0.5000, 0.6453).

For the energy above the most stable polymorph in this dataset, the calculation gives 0.091 eV per atom. The calculation puts the total magnetic moment at 0.00 μB per cell. The calculation puts the formation energy at -0.4487 eV per atom.

=====

Material: Nb4AlB2
Method: DFT, GGA-PBE
State: relaxed

The structure belongs to space group R-3m (No. 166, hexagonal axes); the cell edges are 3.2106, 3.2106 and 36.3685 Å and the angles 90.00°, 90.00° and 120.00°. The distinct sites, in fractional coordinates, are Nb at (0.0000, 0.0000, 0.1036), Nb at (0.0000, 0.0000, 0.2993), Al at (0.0000, 0.0000, 0.5000) and B at (0.0000, 0.0000, 0.4027).

The calculation puts the total magnetic moment at 0.00 μB per cell. The calculation puts the formation energy at -0.2944 eV per atom.

=====

Material: NbAlB
Method: DFT, GGA-PBE
State: relaxed

The structure belongs to space group P4/nmm (No. 129, origin choice 2); the cell edges are 3.2965, 3.2965 and 7.6721 Å and the angles 90.00°, 90.00° and 90.00°. The distinct sites, in fractional coordinates, are Nb at (0.2500, 0.2500, 0.1471), Al at (0.2500, 0.2500, 0.5899) and B at (0.2500, 0.2500, 0.8590).

For the energy above the most stable polymorph in this dataset, the calculation gives 0.256 eV per atom. The calculation puts the total magnetic moment at 0.00 μB per cell. The calculation puts the formation energy at -0.2838 eV per atom.